(1)
## CrRhI2 (GGA-PBEsol)

Data for a relaxed structure of CrRhI2.

Lattice parameters (Å, degrees): 6.867 6.867 6.867 90.00 90.00 90.00
Space group Fm-3m (No. 225)
Asymmetric unit:
Cr  0.000  0.000  0.000
Rh  0.000  0.000  0.500
I  0.250  0.250  0.250

- ΔE_f (raw) (eV/f.u.) = 2.5

(2)
## LiMo2P3O13 (GGA-PBEsol)

Data for a relaxed structure of LiMo2P3O13.

Lattice parameters (Å, degrees): 6.388 22.348 8.659 90.00 127.22 90.00
Space group P2_1/c (No. 14)
Asymmetric unit:
Li  0.074  0.149  0.281
Mo  0.264  0.208  0.038
Mo  0.432  0.565  0.717
P  0.010  0.599  0.799
P  0.350  0.704  0.585
P  0.471  0.082  0.345
O  0.047  0.707  0.450
O  0.061  0.161  0.789
O  0.124  0.558  0.726
O  0.187  0.223  0.439
O  0.210  0.067  0.715
O  0.235  0.610  0.026
O  0.247  0.566  0.476
O  0.312  0.125  0.175
O  0.366  0.082  0.463
O  0.414  0.690  0.442
O  0.447  0.655  0.739
O  0.480  0.736  0.188
O  0.495  0.021  0.282

- ΔE_f (raw) (eV/f.u.) = -40.0

(3)
## V2O3 (GGA-PBEsol)

Data for a relaxed structure of V2O3.

Lattice parameters (Å, degrees): 14.640 2.809 7.247 90.00 99.01 90.00
Space group C2/m (No. 12)
Asymmetric unit:
V  0.026  0.000  0.318
V  0.151  0.500  0.000
V  0.222  0.500  0.604
O  0.000  0.500  0.500
O  0.068  0.500  0.168
O  0.096  0.000  0.834
O  0.153  0.000  0.459
O  0.233  0.000  0.135

- ΔE_f (raw) (eV/f.u.) = -11.1

(4)
## MnAs2AuBr (GGA-PBEsol)

Data for a relaxed structure of MnAs2AuBr.

Lattice parameters (Å, degrees): 4.480 4.480 5.012 90.00 90.00 90.00
Space group P4/mmm (No. 123)
Asymmetric unit:
Mn  0.000  0.000  0.000
As  0.000  0.500  0.000
Au  0.500  0.500  0.500
Br  0.000  0.000  0.500

- ΔE_f (raw) (eV/f.u.) = 2.5

(5)
## Gd2TiCuO6 (GGA-PBEsol)

Data for a relaxed structure of Gd2TiCuO6.

Lattice parameters (Å, degrees): 5.319 5.762 9.080 90.00 125.15 90.00
Space group P2_1/c (No. 14)
Asymmetric unit:
Gd  0.231  0.076  0.250
Ti  0.500  0.000  0.000
Cu  0.000  0.000  0.500
O  0.148  0.175  0.947
O  0.267  0.705  0.945
O  0.356  0.036  0.748

- ΔE_f (raw) (eV/f.u.) = -28.0

(6)
## GeRuS2Br (GGA-PBEsol)

Data for a relaxed structure of GeRuS2Br.

Lattice parameters (Å, degrees): 4.493 4.493 5.103 90.00 90.00 90.00
Space group P4/mmm (No. 123)
Asymmetric unit:
Ge  0.000  0.000  0.000
Ru  0.500  0.500  0.500
S  0.000  0.500  0.500
Br  0.500  0.500  0.000

- ΔE_f (raw) (eV/f.u.) = 1.6

(7)
## CeEuAl4 (GGA-PBEsol)

Data for a relaxed structure of CeEuAl4.

Lattice parameters (Å, degrees): 7.894 7.894 7.894 90.00 90.00 90.00
Space group F-43m (No. 216)
Asymmetric unit:
Ce  0.000  0.000  0.000
Eu  0.250  0.250  0.250
Al  0.126  0.126  0.626

- E_form (eV per atom) = -0.42

(8)
## K2CoAs (GGA-PBEsol)

Data for a relaxed structure of K2CoAs.

Lattice parameters (Å, degrees): 4.145 4.145 10.209 90.00 90.00 90.00
Space group I4/mmm (No. 139)
Asymmetric unit:
K  0.000  0.500  0.250
Co  0.000  0.000  0.000
As  0.000  0.000  0.500

- E_form (eV per atom) = 0.61

Please write out number 3 again, unchanged.
## V2O3 (GGA-PBEsol)

Data for a relaxed structure of V2O3.

Lattice parameters (Å, degrees): 14.640 2.809 7.247 90.00 99.01 90.00
Space group C2/m (No. 12)
Asymmetric unit:
V  0.026  0.000  0.318
V  0.151  0.500  0.000
V  0.222  0.500  0.604
O  0.000  0.500  0.500
O  0.068  0.500  0.168
O  0.096  0.000  0.834
O  0.153  0.000  0.459
O  0.233  0.000  0.135

- ΔE_f (raw) (eV/f.u.) = -11.1